Na3Pa2ZnN6 after structural relaxation. Source: Alexandria, functional PBE-GGA.

Cell lengths 5.7653, 5.7653, 6.3259 Å; angles 102.96, 102.96, 113.35 degrees
Atoms (fractional coordinates):
Na 0.0000 0.0000 0.0000
Na 0.3410 0.6590 0.0000
Na 0.6590 0.3410 0.0000
Pa 0.1729 0.8271 0.5000
Pa 0.8271 0.1729 0.5000
Zn 0.5000 0.5000 0.5000
N 0.1086 0.4408 0.3079
N 0.1921 0.1921 0.7176
N 0.4408 0.1086 0.3079
N 0.5592 0.8914 0.6921
N 0.8079 0.8079 0.2824
N 0.8914 0.5592 0.6921

Output
Uncorrected formation energy in eV per atom: -0.51
Symmetry: C2/m (12)
N(E_F) in states/eV per atom: 0.643

***

ScNb3Sn after structural relaxation. Source: Alexandria, functional PBE-GGA.

Cell lengths 5.0667, 5.0667, 5.0667 Å; angles 90.00, 90.00, 90.00 degrees
Atoms (fractional coordinates):
Sc 0.0000 0.0000 0.0000
Nb 0.0000 0.5000 0.5000
Nb 0.5000 0.0000 0.5000
Nb 0.5000 0.5000 0.0000
Sn 0.5000 0.5000 0.5000

Output
E above lowest polymorph in meV/atom: 33
Symmetry: Pm-3m (221)
N(E_F) in states/eV per atom: 1.686
Formation energy in meV per atom: 1354.3